1.
# Cs6HgAu4 | the Alexandria database | PBE | optimized geometry
# Total DFT energy (no corrections) in Ry per atom: -0.1441
# D(E_F) in states/eV/f.u.: 7.60
# ΔH_f (0 K) in kJ/mol of atoms: -26.6
# Total magnetization in μB per formula unit: 0.0
data_Cs6HgAu4
_symmetry_space_group_name_H-M 'C 1 m 1'
_symmetry_Int_Tables_number 8
_symmetry_space_group_name_Hall 'C -2y'
_cell_length_a 10.481
_cell_length_b 10.069
_cell_length_c 11.678
_cell_angle_alpha 90.00
_cell_angle_beta 116.65
_cell_angle_gamma 90.00
loop_
_atom_site_label
_atom_site_type_symbol
_atom_site_fract_x
_atom_site_fract_y
_atom_site_fract_z
Cs1 Cs 0.000 0.000 0.000
Cs2 Cs 0.026 0.500 0.999
Cs3 Cs 0.329 0.250 0.634
Cs4 Cs 0.402 0.249 0.278
Hg1 Hg 0.134 0.000 0.743
Au1 Au 0.187 0.500 0.356
Au2 Au 0.194 0.000 0.356
Au3 Au 0.220 0.236 0.913

=====

2.
# CsHg6Au2 | the Alexandria database | PBE | optimized geometry
# Total DFT energy (no corrections) in Ry per atom: -0.0830
# D(E_F) in states/eV/f.u.: 2.78
# ΔH_f (0 K) in kJ/mol of atoms: -10.2
# Total magnetization in μB per formula unit: 0.0
data_CsHg6Au2
_symmetry_space_group_name_H-M 'P -1'
_symmetry_Int_Tables_number 2
_symmetry_space_group_name_Hall '-P 1'
_cell_length_a 5.549
_cell_length_b 5.550
_cell_length_c 11.029
_cell_angle_alpha 86.43
_cell_angle_beta 86.66
_cell_angle_gamma 89.68
loop_
_atom_site_label
_atom_site_type_symbol
_atom_site_fract_x
_atom_site_fract_y
_atom_site_fract_z
Cs1 Cs 0.000 0.000 0.000
Hg1 Hg 0.010 0.519 0.734
Hg2 Hg 0.482 0.989 0.266
Hg3 Hg 0.500 0.500 0.000
Hg4 Hg 0.500 0.500 0.500
Au1 Au 0.491 0.491 0.251

=====

Which of these has the highest D(E_F)? Cs6HgAu4

=====

What did the second record say?
# CsHg6Au2 | the Alexandria database | PBE | optimized geometry
# Total DFT energy (no corrections) in Ry per atom: -0.0830
# D(E_F) in states/eV/f.u.: 2.78
# ΔH_f (0 K) in kJ/mol of atoms: -10.2
# Total magnetization in μB per formula unit: 0.0
data_CsHg6Au2
_symmetry_space_group_name_H-M 'P -1'
_symmetry_Int_Tables_number 2
_symmetry_space_group_name_Hall '-P 1'
_cell_length_a 5.549
_cell_length_b 5.550
_cell_length_c 11.029
_cell_angle_alpha 86.43
_cell_angle_beta 86.66
_cell_angle_gamma 89.68
loop_
_atom_site_label
_atom_site_type_symbol
_atom_site_fract_x
_atom_site_fract_y
_atom_site_fract_z
Cs1 Cs 0.000 0.000 0.000
Hg1 Hg 0.010 0.519 0.734
Hg2 Hg 0.482 0.989 0.266
Hg3 Hg 0.500 0.500 0.000
Hg4 Hg 0.500 0.500 0.500
Au1 Au 0.491 0.491 0.251